[1]
Density functional theory data (PBE-GGA) for a geometry-optimized ZrCo2P structure.

a = 3.5600 Å, b = 3.4288 Å, c = 4.9132 Å
α = 89.91°, β = 90.00°, γ = 90.00°
Fractional positions:
Co (0.0000, 0.2493, 0.9988)
Co (0.0000, 0.2507, 0.5012)
P (0.5000, 0.2500, 0.2500)
Zr (0.5000, 0.7500, 0.7500)

Results
Calculated formation energy ... -435 meV per atom
Fermi-level density of states ... 4.2 states/eV per cell
Raw total energy ... -7.48 eV/atom

---

[2]
Density functional theory data (PBE-GGA) for a geometry-optimized ZrCo2P structure.

a = 4.7600 Å, b = 4.7600 Å, c = 4.7600 Å
α = 134.73°, β = 134.73°, γ = 65.94°
Fractional positions:
Co (0.0000, 0.0000, 0.0000)
Co (0.2500, 0.7500, 0.5000)
P (0.5000, 0.5000, 0.0000)
Zr (0.7500, 0.2500, 0.5000)

Results
Calculated formation energy ... -322 meV per atom
Fermi-level density of states ... 3.5 states/eV per cell
Raw total energy ... -7.36 eV/atom

---

- Which value of calculated formation energy does entry 2 give?
  -322 meV per atom